LiCa3Tm2S6: optimized geometry, PBE.

Lattice parameters (Å, degrees): 6.795 6.795 6.823 99.56 99.56 119.97
Sites, in units of the cell vectors:
Li 0.000 0.000 0.000
Ca 0.165 0.835 0.500
Ca 0.835 0.165 0.500
Ca 0.500 0.500 0.500
Tm 0.333 0.667 0.000
Tm 0.667 0.333 0.000
S 0.921 0.585 0.762
S 0.743 0.743 0.237
S 0.079 0.415 0.238
S 0.585 0.921 0.762
S 0.257 0.257 0.763
S 0.415 0.079 0.238

## Properties
uncorrected energy: -65.7 eV per cell
M_tot: 0.00 μB/atom
volume: 21.5 Å³/atom
formation energy without anion corrections: -2.0099 eV/atom


CsLaTcSb: optimized geometry, PBE.

Lattice parameters (Å, degrees): 5.015 3.927 15.396 90.00 90.13 90.00
Sites, in units of the cell vectors:
Cs 0.696 0.000 0.904
Cs 0.696 0.500 0.404
Sb 0.199 0.000 0.592
Sb 0.199 0.500 0.092
Tc 0.200 0.000 0.213
Tc 0.200 0.500 0.713
La 0.699 0.000 0.159
La 0.699 0.500 0.659

## Properties
uncorrected energy: -39.8 eV per cell
polymorph energy (0 for the lowest one): 133 meV per atom
M_tot: 0.00 μB/atom
volume: 37.9 Å³/atom
formation energy without anion corrections: 0.0906 eV/atom


SbMoPb2: optimized geometry, PBE.

Lattice parameters (Å, degrees): 6.042 6.042 6.042 136.57 136.57 63.10
Each line ends with the local moment (μB).
Sites, in units of the cell vectors:
Mo 0.750 0.250 0.500  2.49
Pb 0.000 0.000 0.000  -0.03
Pb 0.500 0.500 0.000  -0.03
Sb 0.250 0.750 0.500  -0.01

## Properties
uncorrected energy: -19.7 eV per cell
M_tot: 0.70 μB/atom
volume: 25.7 Å³/atom
formation energy without anion corrections: 0.6704 eV/atom


Question: Which formula does entry 1 have?
Answer: LiCa3Tm2S6


Question: Which of these has the highest volume?
Answer: CsLaTcSb


Question: Among the records above, which one has the lowest volume?
Answer: LiCa3Tm2S6


Copy entry 1 word for word.
LiCa3Tm2S6: optimized geometry, PBE.

Lattice parameters (Å, degrees): 6.795 6.795 6.823 99.56 99.56 119.97
Sites, in units of the cell vectors:
Li 0.000 0.000 0.000
Ca 0.165 0.835 0.500
Ca 0.835 0.165 0.500
Ca 0.500 0.500 0.500
Tm 0.333 0.667 0.000
Tm 0.667 0.333 0.000
S 0.921 0.585 0.762
S 0.743 0.743 0.237
S 0.079 0.415 0.238
S 0.585 0.921 0.762
S 0.257 0.257 0.763
S 0.415 0.079 0.238

## Properties
uncorrected energy: -65.7 eV per cell
M_tot: 0.00 μB/atom
volume: 21.5 Å³/atom
formation energy without anion corrections: -2.0099 eV/atom